A relaxed Co3HgH crystal, computed with PBE.

Results
Its symmetry is Pm-3m, No. 221. The calculation puts the energy above the most stable polymorph in this dataset at 1894.3 meV per atom. The total energy is -2.819 eV/atom.

```
Co3HgH
1.0
-1.770 -4.560 0.050
3.205 -1.206 3.494
-3.245 1.297 3.424
Co Hg H
3 1 1
Cartesian
-1.622 0.648 1.712
1.602 -0.603 1.747
-0.885 -2.280 0.025
0.000 0.000 0.000
-0.905 -2.234 3.484
```